DFT (GGA-PBE) results for an optimized crystal structure of AlH3.

Cell and atoms, written as POSCAR:
```
AlH3
1.0
5.378 0.000 0.000
0.000 7.319 0.000
0.000 0.000 5.727
Al H
6 18
direct
0.000 0.000 0.000
0.211 0.087 0.500
0.289 0.587 0.000
0.500 0.500 0.500
0.711 0.413 0.000
0.789 0.913 0.500
0.000 0.500 0.000
0.101 0.860 0.500
0.180 0.804 0.000
0.205 0.087 0.200
0.205 0.087 0.800
0.295 0.587 0.300
0.295 0.587 0.700
0.320 0.304 0.500
0.399 0.360 0.000
0.500 0.000 0.500
0.601 0.640 0.000
0.680 0.696 0.500
0.705 0.413 0.300
0.705 0.413 0.700
0.795 0.913 0.200
0.795 0.913 0.800
0.820 0.196 0.000
0.899 0.140 0.500
```

Results
Final energy = -3.473 eV per atom